[1]
Below is an optimized crystal structure of ZrTlC2, with properties calculated at the GGA-PBE level.

POSCAR file:
```
ZrTlC2
1.0
-2.734 2.734 4.730
2.734 -2.734 4.730
2.734 2.734 -4.730
Zr Tl C
2 2 4
Direct
0.000 0.000 0.000 Zr
0.750 0.250 0.500 Zr
0.250 0.750 0.500 Tl
0.500 0.500 0.000 Tl
0.103 0.625 0.978 C
0.375 0.353 0.478 C
0.647 0.125 0.022 C
0.875 0.897 0.522 C
```

Results
The value obtained for the excess energy over the best structure of this formula in the dataset is 0 meV per atom. As for the calculated volume: 17.679 Å³ per atom. Its space group is No. 122. The energy of formation from the pure elements comes out at 0.970 eV/atom. The total moment comes out at 0.0 μB per formula unit.

=====

[2]
Below is an optimized crystal structure of Y4Zn2GaCu, with properties calculated at the GGA-PBE level.

POSCAR file:
```
Y4Zn2GaCu
1.0
2.515 1.452 8.234
-2.515 1.452 8.234
0.000 -2.905 8.234
Y Zn Ga Cu
4 2 1 1
Direct
0.124 0.124 0.124 Y
0.374 0.374 0.374 Y
0.626 0.626 0.626 Y
0.876 0.876 0.876 Y
0.250 0.250 0.250 Zn
0.750 0.750 0.750 Zn
0.500 0.500 0.500 Ga
0.000 0.000 0.000 Cu
```

Results
As for the calculated volume: 22.560 Å³ per atom. Its space group is No. 166. The energy of formation from the pure elements comes out at -0.391 eV/atom. The total moment comes out at 0.0 μB per formula unit.

=====

[3]
Below is an optimized crystal structure of Mn7GaGe3, with properties calculated at the GGA-PBE level.

POSCAR file:
```
Mn7GaGe3
1.0
-2.288 3.750 4.543
2.288 -3.750 4.543
2.288 3.750 -4.543
Mn Ga Ge
7 1 3
Direct
0.000 0.000 0.000 Mn
0.097 0.767 0.330 Mn
0.324 0.500 0.824 Mn
0.437 0.767 0.670 Mn
0.563 0.233 0.330 Mn
0.676 0.500 0.176 Mn
0.903 0.233 0.670 Mn
0.000 0.500 0.500 Ga
0.270 0.270 0.000 Ge
0.500 0.000 0.500 Ge
0.730 0.730 0.000 Ge
```

Results
As for the calculated volume: 14.176 Å³ per atom. Its space group is No. 71. The energy of formation from the pure elements comes out at 0.219 eV/atom. The total moment comes out at 17.3 μB per formula unit.

=====

[4]
Below is an optimized crystal structure of Ac12Fe3H5, with properties calculated at the GGA-PBE level.

POSCAR file:
```
Ac12Fe3H5
1.0
-8.306 8.306 8.306
8.306 -8.306 8.306
8.306 8.306 -8.306
Ac Fe H
48 12 20
Direct
0.030 0.218 0.123 Ac
0.030 0.313 0.908 Ac
0.092 0.623 0.405 Ac
0.092 0.970 0.687 Ac
0.095 0.718 0.687 Ac
0.095 0.877 0.408 Ac
0.123 0.030 0.218 Ac
0.123 0.592 0.905 Ac
0.187 0.218 0.595 Ac
0.187 0.470 0.592 Ac
0.218 0.123 0.030 Ac
0.218 0.595 0.187 Ac
0.282 0.313 0.905 Ac
0.282 0.470 0.377 Ac
0.313 0.905 0.282 Ac
0.313 0.908 0.030 Ac
0.377 0.282 0.470 Ac
0.377 0.595 0.908 Ac
0.405 0.092 0.623 Ac
0.405 0.813 0.782 Ac
0.408 0.095 0.877 Ac
0.408 0.813 0.530 Ac
0.470 0.377 0.282 Ac
0.470 0.592 0.187 Ac
0.530 0.408 0.813 Ac
0.530 0.623 0.718 Ac
0.592 0.187 0.470 Ac
0.592 0.905 0.123 Ac
0.595 0.187 0.218 Ac
0.595 0.908 0.377 Ac
0.623 0.405 0.092 Ac
0.623 0.718 0.530 Ac
0.687 0.092 0.970 Ac
0.687 0.095 0.718 Ac
0.718 0.530 0.623 Ac
0.718 0.687 0.095 Ac
0.782 0.405 0.813 Ac
0.782 0.877 0.970 Ac
0.813 0.530 0.408 Ac
0.813 0.782 0.405 Ac
0.877 0.408 0.095 Ac
0.877 0.970 0.782 Ac
0.905 0.123 0.592 Ac
0.905 0.282 0.313 Ac
0.908 0.030 0.313 Ac
0.908 0.377 0.595 Ac
0.970 0.687 0.092 Ac
0.970 0.782 0.877 Ac
0.125 0.250 0.375 Fe
0.125 0.375 0.750 Fe
0.250 0.375 0.125 Fe
0.250 0.875 0.625 Fe
0.375 0.125 0.250 Fe
0.375 0.750 0.125 Fe
0.625 0.250 0.875 Fe
0.625 0.875 0.750 Fe
0.750 0.125 0.375 Fe
0.750 0.625 0.875 Fe
0.875 0.625 0.250 Fe
0.875 0.750 0.625 Fe
0.000 0.000 0.000 H
0.000 0.000 0.500 H
0.000 0.500 0.000 H
0.000 0.500 0.500 H
0.125 0.750 0.875 H
0.125 0.875 0.250 H
0.250 0.125 0.875 H
0.250 0.625 0.375 H
0.375 0.250 0.625 H
0.375 0.625 0.750 H
0.500 0.000 0.000 H
0.500 0.000 0.500 H
0.500 0.500 0.000 H
0.500 0.500 0.500 H
0.625 0.375 0.250 H
0.625 0.750 0.375 H
0.750 0.375 0.625 H
0.750 0.875 0.125 H
0.875 0.125 0.750 H
0.875 0.250 0.125 H
```

Results
As for the final energy: -362.7 eV/cell. As for the calculated volume: 28.656 Å³ per atom. Its space group is No. 230. The total moment comes out at 2.9 μB per formula unit.

=====

[5]
Below is an optimized crystal structure of YGe3Ir, with properties calculated at the GGA-PBE level.

POSCAR file:
```
YGe3Ir
1.0
5.194 0.000 0.000
0.000 5.194 0.000
0.000 0.000 5.194
Y Ge Ir
1 3 1
Direct
0.000 0.000 0.000 Y
0.000 0.000 0.500 Ge
0.000 0.500 0.000 Ge
0.500 0.000 0.000 Ge
0.500 0.500 0.500 Ir
```

Results
As for the calculated volume: 28.019 Å³ per atom. Its space group is No. 221. The energy of formation from the pure elements comes out at 1.565 eV/atom. The total moment comes out at 0.6 μB per formula unit.

=====

[6]
Below is an optimized crystal structure of UMnI6, with properties calculated at the GGA-PBE level.

POSCAR file:
```
UMnI6
1.0
7.475 0.000 0.000
3.732 6.482 0.000
3.731 2.164 6.797
U Mn I
1 1 6
Direct
0.000 0.000 0.000 U
0.500 0.500 0.500 Mn
0.106 0.745 0.744 I
0.254 0.595 0.256 I
0.404 0.105 0.744 I
0.596 0.895 0.256 I
0.746 0.405 0.744 I
0.894 0.255 0.256 I
```

Results
The value obtained for the excess energy over the best structure of this formula in the dataset is 66 meV per atom. As for the calculated volume: 41.166 Å³ per atom. Its space group is No. 2. The raw formation energy comes out at -606 meV/atom. The total moment comes out at 3.0 μB per formula unit.